(1)
Y2ScBi3: optimized geometry, GGA-PBE.

Output
total DFT energy (no corrections)	-5.96	eV/atom
energy of formation from the pure elements	-0.81	eV/atom

Cell and atoms, written as CIF:
```
data_Y2ScBi3
_symmetry_space_group_name_H-M 'C 1 2/m 1'
_symmetry_Int_Tables_number 12
_cell_length_a 7.645
_cell_length_b 13.246
_cell_length_c 7.639
_cell_angle_alpha 90.00
_cell_angle_beta 109.52
_cell_angle_gamma 90.00
loop_
_symmetry_equiv_pos_as_xyz
'x,y,z'
'-x,-y,-z'
'-x,y,-z'
'x,-y,z'
'x+1/2,y+1/2,z'
'-x+1/2,-y+1/2,-z'
'-x+1/2,y+1/2,-z'
'x+1/2,-y+1/2,z'
loop_
_atom_site_label
_atom_site_fract_x
_atom_site_fract_y
_atom_site_fract_z
Y1 0.000 0.000 0.000
Y2 0.000 0.163 0.500
Y3 0.000 0.500 0.500
Sc1 0.000 0.332 0.000
Bi1 0.237 0.500 0.237
Bi2 0.248 0.329 0.759
```

***

(2)
DySn2Rh: optimized geometry, GGA-PBE.

Output
total DFT energy (no corrections)	-5.68	eV/atom
energy of formation from the pure elements	-0.69	eV/atom

Cell and atoms, written as CIF:
```
data_DySn2Rh
_symmetry_space_group_name_H-M 'P n m a'
_symmetry_Int_Tables_number 62
_cell_length_a 16.543
_cell_length_b 7.288
_cell_length_c 5.883
_cell_angle_alpha 90.00
_cell_angle_beta 90.00
_cell_angle_gamma 90.00
loop_
_symmetry_equiv_pos_as_xyz
'x,y,z'
'-x,-y,-z'
'-x+1/2,-y,z+1/2'
'x+1/2,y,-z+1/2'
'x+1/2,-y+1/2,-z+1/2'
'-x+1/2,y+1/2,z+1/2'
'-x,y+1/2,-z'
'x,-y+1/2,z'
loop_
_atom_site_label
_atom_site_fract_x
_atom_site_fract_y
_atom_site_fract_z
Dy1 0.110 0.250 0.241
Dy2 0.144 0.750 0.476
Sn1 0.031 0.040 0.744
Sn2 0.217 0.543 0.978
Rh1 0.079 0.750 0.012
Rh2 0.165 0.250 0.717
```

***

(3)
NaPuHg2: optimized geometry, GGA-PBE.

Output
total DFT energy (no corrections)	-4.22	eV/atom
energy of formation from the pure elements	-0.15	eV/atom

Cell and atoms, written as CIF:
```
data_NaPuHg2
_symmetry_space_group_name_H-M 'P 4/m m m'
_symmetry_Int_Tables_number 123
_symmetry_space_group_name_Hall '-P 4 2'
_cell_length_a 5.628
_cell_length_b 5.628
_cell_length_c 3.256
_cell_angle_alpha 90.00
_cell_angle_beta 90.00
_cell_angle_gamma 90.00
loop_
_atom_site_label
_atom_site_fract_x
_atom_site_fract_y
_atom_site_fract_z
Na1 0.000 0.000 0.000
Pu1 0.500 0.500 0.000
Hg1 0.000 0.500 0.500
```

***

(4)
Zr2Ga3Co4: optimized geometry, GGA-PBE.

Output
total DFT energy (no corrections)	-6.45	eV/atom
energy of formation from the pure elements	-0.39	eV/atom

Cell and atoms, written as CIF:
```
data_Zr2Ga3Co4
_symmetry_space_group_name_H-M 'C m c e'
_symmetry_Int_Tables_number 64
_symmetry_space_group_name_Hall '-C 2ac 2'
_cell_length_a 5.160
_cell_length_b 14.509
_cell_length_c 6.904
_cell_angle_alpha 90.00
_cell_angle_beta 90.00
_cell_angle_gamma 90.00
loop_
_atom_site_label
_atom_site_fract_x
_atom_site_fract_y
_atom_site_fract_z
Zr1 0.000 0.103 0.088
Ga1 0.000 0.000 0.500
Ga2 0.250 0.236 0.750
Co1 0.000 0.171 0.486
Co2 0.250 0.069 0.750
```

***

(5)
IrC3: optimized geometry, GGA-PBE.

Output
total DFT energy (no corrections)	-8.31	eV/atom
energy of formation from the pure elements	0.82	eV/atom

Cell and atoms, written as CIF:
```
data_IrC3
_symmetry_space_group_name_H-M 'A m m 2'
_symmetry_Int_Tables_number 38
_cell_length_a 2.580
_cell_length_b 2.824
_cell_length_c 10.365
_cell_angle_alpha 90.00
_cell_angle_beta 90.00
_cell_angle_gamma 90.00
loop_
_symmetry_equiv_pos_as_xyz
'x,y,z'
'-x,-y,z'
'-x,y,z'
'x,-y,z'
'x,y+1/2,z+1/2'
'-x,-y+1/2,z+1/2'
'-x,y+1/2,z+1/2'
'x,-y+1/2,z+1/2'
loop_
_atom_site_label
_atom_site_fract_x
_atom_site_fract_y
_atom_site_fract_z
Ir1 0.000 0.000 0.000
C1 0.000 0.000 0.801
C2 0.500 0.000 0.595
C3 0.500 0.000 0.737
```

***

(6)
Er8Hg2C3: optimized geometry, GGA-PBE.

Output
total DFT energy (no corrections)	-5.26	eV/atom
energy of formation from the pure elements	-0.28	eV/atom

Cell and atoms, written as CIF:
```
data_Er8Hg2C3
_symmetry_space_group_name_H-M 'C 1 2/m 1'
_symmetry_Int_Tables_number 12
_cell_length_a 14.322
_cell_length_b 7.187
_cell_length_c 6.404
_cell_angle_alpha 90.00
_cell_angle_beta 107.44
_cell_angle_gamma 90.00
loop_
_symmetry_equiv_pos_as_xyz
'x,y,z'
'-x,-y,-z'
'-x,y,-z'
'x,-y,z'
'x+1/2,y+1/2,z'
'-x+1/2,-y+1/2,-z'
'-x+1/2,y+1/2,-z'
'x+1/2,-y+1/2,z'
loop_
_atom_site_label
_atom_site_fract_x
_atom_site_fract_y
_atom_site_fract_z
Er1 0.095 0.236 0.388
Er2 0.100 0.000 0.896
Er3 0.110 0.500 0.966
Hg1 0.236 0.500 0.673
C1 0.000 0.000 0.500
C2 0.000 0.252 0.000
```

***

(7)
Tb3Dy2Tm4: optimized geometry, GGA-PBE.

Output
total DFT energy (no corrections)	-4.45	eV/atom
energy of formation from the pure elements	0.10	eV/atom

Cell and atoms, written as CIF:
```
data_Tb3Dy2Tm4
_symmetry_space_group_name_H-M 'C 1 2/c 1'
_symmetry_Int_Tables_number 15
_cell_length_a 16.166
_cell_length_b 11.435
_cell_length_c 6.034
_cell_angle_alpha 90.00
_cell_angle_beta 96.30
_cell_angle_gamma 90.00
loop_
_symmetry_equiv_pos_as_xyz
'x,y,z'
'-x,-y,-z'
'-x,y,-z+1/2'
'x,-y,z+1/2'
'x+1/2,y+1/2,z'
'-x+1/2,-y+1/2,-z'
'-x+1/2,y+1/2,-z+1/2'
'x+1/2,-y+1/2,z+1/2'
loop_
_atom_site_label
_atom_site_fract_x
_atom_site_fract_y
_atom_site_fract_z
Tb1 0.000 0.097 0.250
Tb2 0.166 0.402 0.089
Dy1 0.122 0.141 0.820
Tm1 0.046 0.360 0.515
Tm2 0.215 0.139 0.348
```

***

(8)
Nb3InAu: optimized geometry, GGA-PBE.

Output
total DFT energy (no corrections)	-5.95	eV/atom
energy of formation from the pure elements	1.29	eV/atom

Cell and atoms, written as CIF:
```
data_Nb3InAu
_symmetry_space_group_name_H-M 'P m -3 m'
_symmetry_Int_Tables_number 221
_symmetry_space_group_name_Hall '-P 4 2 3'
_cell_length_a 4.978
_cell_length_b 4.978
_cell_length_c 4.978
_cell_angle_alpha 90.00
_cell_angle_beta 90.00
_cell_angle_gamma 90.00
loop_
_atom_site_label
_atom_site_fract_x
_atom_site_fract_y
_atom_site_fract_z
Nb1 0.000 0.000 0.500
In1 0.500 0.500 0.500
Au1 0.000 0.000 0.000
```

***

(9)
ScCu3PbSe4: optimized geometry, GGA-PBE.

Output
total DFT energy (no corrections)	-4.54	eV/atom
uncorrected formation energy	-49.56	kJ/mol of atoms

Cell and atoms, written as CIF:
```
data_ScCu3PbSe4
_symmetry_space_group_name_H-M 'P -4 3 m'
_symmetry_Int_Tables_number 215
_symmetry_space_group_name_Hall 'P -4 2 3'
_cell_length_a 6.152
_cell_length_b 6.152
_cell_length_c 6.152
_cell_angle_alpha 90.00
_cell_angle_beta 90.00
_cell_angle_gamma 90.00
loop_
_atom_site_label
_atom_site_fract_x
_atom_site_fract_y
_atom_site_fract_z
Sc1 0.000 0.000 0.000
Cu1 0.000 0.000 0.500
Pb1 0.500 0.500 0.500
Se1 0.233 0.233 0.233
```

***

Q: Which value of total DFT energy (no corrections) does entry 6 give?
A: -5.26 eV/atom

***

Q: Among the records above, which one has the lowest total DFT energy (no corrections)?
A: IrC3

***

Repeat the third record exactly.
NaPuHg2: optimized geometry, GGA-PBE.

Output
total DFT energy (no corrections)	-4.22	eV/atom
energy of formation from the pure elements	-0.15	eV/atom

Cell and atoms, written as CIF:
```
data_NaPuHg2
_symmetry_space_group_name_H-M 'P 4/m m m'
_symmetry_Int_Tables_number 123
_symmetry_space_group_name_Hall '-P 4 2'
_cell_length_a 5.628
_cell_length_b 5.628
_cell_length_c 3.256
_cell_angle_alpha 90.00
_cell_angle_beta 90.00
_cell_angle_gamma 90.00
loop_
_atom_site_label
_atom_site_fract_x
_atom_site_fract_y
_atom_site_fract_z
Na1 0.000 0.000 0.000
Pu1 0.500 0.500 0.000
Hg1 0.000 0.500 0.500
```

***

Q: What is the formula in the third record?
A: NaPuHg2